{
  "formula": "LiPr3Al2",
  "functional": "PBE-GGA",
  "state": "optimized geometry",
  "volume_a3_per_cell": 322.53,
  "total_energy_ev_per_atom": -4.195,
  "formation_enthalpy_0k_ev_per_atom": -0.239,
  "crystal_system": "trigonal",
  "de_polymorph_mev_per_atom": 0.0,
  "sg": "P-3m1",
  "cell": [[5.3352, 0.0000, 0.0000], [-2.6676, 4.6204, 0.0000], [0.0000, 0.0000, 13.0840]],
  "species": ["Li", "Li", "Pr", "Pr", "Pr", "Pr", "Pr", "Pr", "Al", "Al", "Al", "Al"],
  "fractional_positions": [[0.3333, 0.6667, 0.6702], [0.6667, 0.3333, 0.3298], [0.3333, 0.6667, 0.4161], [0.6667, 0.3333, 0.0807], [0.0000, 0.0000, 0.7545], [0.0000, 0.0000, 0.2455], [0.3333, 0.6667, 0.9193], [0.6667, 0.3333, 0.5839], [0.0000, 0.0000, 0.5000], [0.3333, 0.6667, 0.1727], [0.6667, 0.3333, 0.8273], [0.0000, 0.0000, 0.0000]]
}